Material: KNdW2O8
Method: DFT, GGA+U
State: relaxed

Cell: 10.3907 10.8935 7.5973 Å, 90.00 125.67 90.00°
Last column: nearest neighbours and their distance in Å.
Space group C2/m (No. 12)
Inequivalent atoms, fractional coordinates:
K  0.1888  0.0000  0.0267 [4 per cell]  6 O 2.62-2.90
Nd  0.0000  0.1992  0.5000 [4 per cell]  8 O 2.42-2.59
W  0.0000  0.3377  0.0000 [4 per cell]  4 O 1.82-1.96
W  0.2042  0.5000  0.4432 [4 per cell]  3 O 1.83-1.87
O  0.0164  0.5000  0.8442 [4 per cell]  3 W 2.05-2.19
O  0.0462  0.2362  0.8543 [8 per cell]  1 W 1.82
O  0.0740  0.0000  0.3922 [4 per cell]  1 W 1.87
O  0.1679  0.3725  0.5647 [8 per cell]  1 W 1.83
O  0.2201  0.3732  0.2399 [8 per cell]  2 W 1.96-2.15

Values from the calculation:
Final energy in Ry per atom: -0.5444
N(E_F) in states/eV/atom: 0.00
Total magnetization in μB per atom: 0.000